InAgTe2OsS | PBE | relaxed

Cell lengths 4.0682, 13.7817, 9.9832 Å; angles 90.00, 90.00, 90.00 degrees
With the nearest neighbours (Å) after each atom.
Space group Cmcm (No. 63)
One atom of each set of equivalent atoms:
1 In 0.0000 0.2373 0.2500 (multiplicity 4)  2 S 2.99, 2 Te 3.13
2 Ag 0.0000 0.0242 0.7500 (multiplicity 4)  2 S 2.48, 2 Te 2.67
3 Te 0.0000 0.1322 0.5279 (multiplicity 8)  1 Ag 2.67, 2 Os 2.75
4 Os 0.0000 0.5000 0.0000 (multiplicity 4)  2 S 2.72, 4 Te 2.75
5 S 0.0000 0.4213 0.7500 (multiplicity 4)  2 Ag 2.48, 2 Os 2.72

E	-4.33	eV per atom